{
  "formula": "SrC2",
  "functional": "PBE",
  "state": "relaxed",
  "lattice": [[2.7321, 0.0000, 0.0000], [0.0000, 10.6311, 0.0000], [0.0000, 0.0000, 5.4983]],
  "species": ["Sr", "Sr", "Sr", "Sr", "C", "C", "C", "C", "C", "C", "C", "C"],
  "fractional_positions": [[0.0000, 0.1216, 0.2500], [0.0000, 0.8784, 0.7500], [0.5000, 0.3784, 0.7500], [0.5000, 0.6216, 0.2500], [0.0000, 0.1558, 0.7500], [0.0000, 0.3944, 0.2500], [0.0000, 0.6056, 0.7500], [0.0000, 0.8442, 0.2500], [0.5000, 0.1056, 0.7500], [0.5000, 0.3442, 0.2500], [0.5000, 0.6558, 0.7500], [0.5000, 0.8944, 0.2500]],
  "e_tot_ev_per_atom": -6.183,
  "e_form_kj_per_mol_fu": 153
}


{
  "formula": "SrC2",
  "functional": "PBE",
  "state": "relaxed",
  "lattice": [[5.0217, 0.0000, 0.0000], [-2.5109, 4.3489, 0.0000], [0.0000, 0.0000, 6.9417]],
  "species": ["Sr", "Sr", "Sr", "C", "C", "C", "C", "C", "C"],
  "fractional_positions": [[0.0000, 0.0000, 0.0000], [0.3333, 0.6667, 0.6667], [0.6667, 0.3333, 0.3333], [0.0000, 0.0000, 0.4090], [0.0000, 0.0000, 0.5910], [0.3333, 0.6667, 0.0756], [0.3333, 0.6667, 0.2577], [0.6667, 0.3333, 0.7423], [0.6667, 0.3333, 0.9244]],
  "e_tot_ev_per_atom": -6.542,
  "e_form_kj_per_mol_fu": 49
}


{
  "formula": "Sr2C",
  "functional": "PBE",
  "state": "relaxed",
  "lattice": [[7.3292, 0.0000, 0.0000], [-3.6646, 6.3472, 0.0000], [0.0000, 0.0000, 4.7813]],
  "species": ["Sr", "Sr", "Sr", "Sr", "Sr", "Sr", "C", "C", "C"],
  "fractional_positions": [[0.0000, 0.2860, 0.0000], [0.0000, 0.6191, 0.5000], [0.2860, 0.0000, 0.0000], [0.3809, 0.3809, 0.5000], [0.6191, 0.0000, 0.5000], [0.7140, 0.7140, 0.0000], [0.0000, 0.0000, 0.5000], [0.3333, 0.6667, 0.0000], [0.6667, 0.3333, 0.0000]],
  "e_tot_ev_per_atom": -3.501,
  "e_form_kj_per_mol_fu": 201
}


{
  "formula": "Sr2C",
  "functional": "PBE",
  "state": "relaxed",
  "lattice": [[4.9854, 0.0000, 0.0000], [0.0000, 4.9854, 0.0000], [0.0000, 0.0000, 6.4802]],
  "species": ["Sr", "Sr", "Sr", "Sr", "C", "C"],
  "fractional_positions": [[0.2500, 0.2500, 0.0835], [0.2500, 0.7500, 0.5000], [0.7500, 0.2500, 0.5000], [0.7500, 0.7500, 0.9165], [0.2500, 0.2500, 0.6924], [0.7500, 0.7500, 0.3076]],
  "e_tot_ev_per_atom": -3.579,
  "e_form_kj_per_mol_fu": 179
}


{
  "formula": "SrC2",
  "functional": "PBE",
  "state": "relaxed",
  "lattice": [[7.7223, 0.0000, 0.0000], [-3.8611, 6.6877, 0.0000], [0.0000, 0.0000, 2.7218]],
  "species": ["Sr", "Sr", "Sr", "C", "C", "C", "C", "C", "C"],
  "fractional_positions": [[0.0000, 0.0000, 0.0000], [0.3333, 0.6667, 0.5000], [0.6667, 0.3333, 0.5000], [0.0000, 0.2963, 0.5000], [0.0000, 0.3693, 0.0000], [0.2963, 0.0000, 0.5000], [0.3693, 0.0000, 0.0000], [0.6307, 0.6307, 0.0000], [0.7037, 0.7037, 0.5000]],
  "e_tot_ev_per_atom": -6.121,
  "e_form_kj_per_mol_fu": 171
}


{
  "formula": "SrC2",
  "functional": "PBE",
  "state": "relaxed",
  "lattice": [[2.7099, 0.0000, 0.0000], [0.0000, 8.0124, 0.0000], [0.0000, 0.0000, 3.5695]],
  "species": ["Sr", "Sr", "C", "C", "C", "C"],
  "fractional_positions": [[0.0000, 0.0000, 0.0000], [0.5000, 0.5000, 0.0000], [0.0000, 0.2865, 0.5000], [0.0000, 0.7135, 0.5000], [0.5000, 0.2135, 0.5000], [0.5000, 0.7865, 0.5000]],
  "e_tot_ev_per_atom": -6.260,
  "e_form_kj_per_mol_fu": 130
}


Copy entry 3 word for word.
{
  "formula": "Sr2C",
  "functional": "PBE",
  "state": "relaxed",
  "lattice": [[7.3292, 0.0000, 0.0000], [-3.6646, 6.3472, 0.0000], [0.0000, 0.0000, 4.7813]],
  "species": ["Sr", "Sr", "Sr", "Sr", "Sr", "Sr", "C", "C", "C"],
  "fractional_positions": [[0.0000, 0.2860, 0.0000], [0.0000, 0.6191, 0.5000], [0.2860, 0.0000, 0.0000], [0.3809, 0.3809, 0.5000], [0.6191, 0.0000, 0.5000], [0.7140, 0.7140, 0.0000], [0.0000, 0.0000, 0.5000], [0.3333, 0.6667, 0.0000], [0.6667, 0.3333, 0.0000]],
  "e_tot_ev_per_atom": -3.501,
  "e_form_kj_per_mol_fu": 201
}